No. 1
Cs2KTlHg | the Alexandria database | PBE-GGA | relaxed; E above lowest polymorph = 0.070 eV per atom; DFT formation energy = 0.052 eV per atom; density of states at the Fermi level = 0.6365 states/eV/atom
1.0
7.394 0.000 0.000
0.000 7.394 0.000
0.000 0.000 6.907
Cs Tl K Hg
2 1 1 1
direct
0.000 0.500 0.000
0.500 0.000 0.000
0.000 0.000 0.000
0.000 0.000 0.500
0.500 0.500 0.500

=====

No. 2
CeErCo2 | the Alexandria database | PBE-GGA | relaxed; DFT formation energy = -0.167 eV per atom; density of states at the Fermi level = 0.8897 states/eV/atom
1.0
-1.828 -0.484 -2.732
2.340 -2.027 -1.207
-2.990 -5.191 2.921
Co Ce Er
2 1 1
direct
0.000 0.000 0.773
0.000 0.000 0.227
0.500 0.500 0.000
0.500 0.500 0.500

=====

No. 3
NaBi3Au | the Alexandria database | PBE-GGA | relaxed; E above lowest polymorph = 0.894 eV per atom; DFT formation energy = 0.766 eV per atom; density of states at the Fermi level = 0.8495 states/eV/atom
1.0
-0.531 -5.415 0.084
4.654 -0.413 2.790
-2.770 0.344 4.672
Na Au Bi
1 1 3
direct
0.000 0.000 0.000
0.500 0.500 0.500
0.000 0.500 0.000
0.000 0.000 0.500
0.500 0.000 0.000

=====

No. 4
Li3AgPd2 | the Alexandria database | PBE-GGA | relaxed; E above lowest polymorph = 0.000 eV per atom; DFT formation energy = -0.368 eV per atom; density of states at the Fermi level = 0.1897 states/eV/atom
1.0
-3.362 2.743 0.240
-3.327 -1.665 5.670
3.347 3.833 3.090
Li Ag Pd
6 2 4
direct
0.835 0.326 0.737
0.500 0.000 0.260
0.165 0.674 0.263
0.835 0.326 0.263
0.165 0.674 0.737
0.500 0.000 0.740
0.333 0.331 0.000
0.667 0.669 0.000
0.000 0.000 0.000
0.000 0.000 0.500
0.330 0.337 0.500
0.670 0.663 0.500

=====

No. 5
CaCeS2F | the Alexandria database | PBE-GGA | relaxed; formation energy (no corrections) = -12.615 eV/f.u.; density of states at the Fermi level = 0.9849 states/eV/atom
1.0
3.960 0.000 0.000
0.000 3.960 0.000
0.000 0.000 13.808
Ca Ce S F
2 2 4 2
direct
0.500 0.000 0.595
0.000 0.500 0.405
0.500 0.000 0.123
0.000 0.500 0.877
0.000 0.500 0.690
0.000 0.500 0.094
0.500 0.000 0.906
0.500 0.000 0.310
0.000 0.000 0.500
0.500 0.500 0.500

=====

No. 6
La2NdP2N6 | the Alexandria database | PBE-GGA | relaxed; formation energy (no corrections) = -11.348 eV/f.u.; density of states at the Fermi level = 0.2668 states/eV/atom
1.0
-0.404 4.355 3.505
0.632 -5.240 2.103
5.612 2.758 -2.779
La Nd P N
2 1 2 6
direct
0.704 0.407 0.179
0.296 0.593 0.821
0.500 0.000 0.500
0.959 0.917 0.742
0.041 0.083 0.258
0.775 0.549 0.630
0.188 0.890 0.171
0.299 0.110 0.829
0.812 0.110 0.829
0.701 0.890 0.171
0.225 0.451 0.370

=====

No. 7
K3CrMo | the Alexandria database | PBE-GGA | relaxed; DFT formation energy = 1.631 eV per atom; density of states at the Fermi level = 0.5216 states/eV/atom
1.0
6.565 0.000 0.000
0.000 6.565 0.000
0.000 0.000 6.565
Cr Mo K
1 1 3
direct
0.000 0.000 0.000
0.500 0.500 0.500
0.000 0.500 0.000
0.000 0.000 0.500
0.500 0.000 0.000

=====

No. 8
HoZrSb | the Alexandria database | PBE-GGA | relaxed; formation energy (no corrections) = -0.756 eV/f.u.; density of states at the Fermi level = 1.3603 states/eV/atom
1.0
3.729 0.000 0.000
0.000 4.948 0.000
0.000 -2.474 4.285
Sb Ho Zr
1 1 1
direct
0.223 0.333 0.667
0.644 0.667 0.333
0.133 0.000 0.000